Cd2Ag2WO6 (PBE+U, optimized geometry); SG = No. 12; size of the total moment = 0.00 μB/cell; final energy = -5.062 eV per atom; crystal system = monoclinic
1.0
-2.4038 -1.3661 -4.9562
2.6941 -4.1342 2.8033
-4.9915 1.4977 3.8136
O W Cd Ag
6 1 2 2
Direct
0.8365 0.8365 0.7086 O
0.9020 0.6128 0.3124 O
0.3872 0.0980 0.6876 O
0.1635 0.1635 0.2914 O
0.6128 0.9020 0.3124 O
0.0980 0.3872 0.6876 O
0.0000 0.0000 0.5000 W
0.6597 0.3403 0.5000 Cd
0.3403 0.6597 0.5000 Cd
0.1971 0.8029 0.0000 Ag
0.8029 0.1971 0.0000 Ag